Entry 1:
CePrPd14 PBE relaxed; formation energy from the elements = -6.05 eV per formula unit; space group = P4/mmm
1.0
-4.995 -1.507 2.692
2.219 -5.314 1.142
2.864 2.658 6.801
Pd Ce Pr
14 1 1
direct
0.875 0.875 0.000 Pd
0.121 0.629 0.239 Pd
0.875 0.375 0.500 Pd
0.121 0.121 0.239 Pd
0.629 0.629 0.761 Pd
0.375 0.875 0.000 Pd
0.375 0.875 0.500 Pd
0.629 0.121 0.761 Pd
0.875 0.375 0.000 Pd
0.629 0.121 0.239 Pd
0.375 0.375 0.000 Pd
0.121 0.121 0.761 Pd
0.121 0.629 0.761 Pd
0.629 0.629 0.239 Pd
0.875 0.875 0.500 Ce
0.375 0.375 0.500 Pr

=====

Entry 2:
Y4AsSe2Cl PBE relaxed; formation energy from raw total energies = -1597 meV/atom; space group = P2/m
1.0
-3.325 2.411 0.169
-1.709 -2.797 6.289
3.005 3.783 5.180
Y As Cl Se
4 1 1 2
direct
0.500 0.249 0.730 Y
0.000 0.766 0.725 Y
0.000 0.234 0.275 Y
0.500 0.751 0.270 Y
0.000 0.500 0.500 As
0.500 0.500 0.000 Cl
0.500 0.000 0.500 Se
0.000 0.000 0.000 Se

=====

Entry 3:
PrMg2Bi3 PBE relaxed; formation energy from the elements = -2.28 eV per formula unit; space group = Pmc2_1
1.0
-1.919 -1.100 -3.821
-5.666 -1.535 3.288
-3.905 11.515 -1.353
Mg Bi Pr
4 6 2
direct
0.000 0.504 0.764 Mg
0.500 0.534 0.536 Mg
0.000 0.004 0.236 Mg
0.500 0.034 0.464 Mg
0.500 0.120 0.076 Bi
0.500 0.711 0.282 Bi
0.500 0.211 0.718 Bi
0.500 0.620 0.924 Bi
0.000 0.843 0.613 Bi
0.000 0.343 0.387 Bi
0.000 0.490 0.118 Pr
0.000 0.990 0.882 Pr